[1]
# meta-GGA SCAN MnReSb2, PBEsol geometry
# Energy above the lowest structure with this stoichiometry = 396 meV/atom
# Energy relative to the elements, uncorrected = 0.71 eV per atom
# Total DFT energy (no corrections) = -40.26 eV/atom
# Size of the total moment = 6.6 Bohr magnetons per cell
data_MnReSb2
_space_group_name_H-M_alt 'C m m m'
_space_group_IT_number 65
_space_group_name_Hall '-C 2 2'
_cell_length_a 3.268
_cell_length_b 5.257
_cell_length_c 8.586
_cell_angle_alpha 90.00
_cell_angle_beta 90.00
_cell_angle_gamma 90.00
loop_
_atom_site_label
_atom_site_fract_x
_atom_site_fract_y
_atom_site_fract_z
_atom_site_occupancy
Mn1 0.000 0.000 0.000 1
Re1 0.000 0.000 0.500 1
Sb1 0.000 0.500 0.250 1

***

[2]
# meta-GGA SCAN LaSbRh3, PBEsol geometry
# Energy relative to the elements, uncorrected = 0.90 eV per atom
# Total DFT energy (no corrections) = -35.43 eV/atom
# Size of the total moment = 0.0 Bohr magnetons per cell
data_LaSbRh3
_space_group_name_H-M_alt 'P m -3 m'
_space_group_IT_number 221
_space_group_name_Hall '-P 4 2 3'
_cell_length_a 4.817
_cell_length_b 4.817
_cell_length_c 4.817
_cell_angle_alpha 90.00
_cell_angle_beta 90.00
_cell_angle_gamma 90.00
loop_
_atom_site_label
_atom_site_fract_x
_atom_site_fract_y
_atom_site_fract_z
_atom_site_occupancy
La1 0.000 0.000 0.000 1
Sb1 0.500 0.500 0.500 1
Rh1 0.000 0.000 0.500 1

***

[3]
# meta-GGA SCAN Tl2TeSe, PBEsol geometry
# Energy above the lowest structure with this stoichiometry = 161 meV/atom
# Energy relative to the elements, uncorrected = -0.04 eV per atom
# Total DFT energy (no corrections) = -50.55 eV/atom
# Size of the total moment = 0.0 Bohr magnetons per cell
data_Tl2TeSe
_space_group_name_H-M_alt 'F m -3 m'
_space_group_IT_number 225
_space_group_name_Hall '-F 4 2 3'
_cell_length_a 7.533
_cell_length_b 7.533
_cell_length_c 7.533
_cell_angle_alpha 90.00
_cell_angle_beta 90.00
_cell_angle_gamma 90.00
loop_
_atom_site_label
_atom_site_fract_x
_atom_site_fract_y
_atom_site_fract_z
_atom_site_occupancy
Tl1 0.250 0.250 0.250 1
Te1 0.000 0.000 0.000 1
Se1 0.000 0.000 0.500 1

***

Which formula does entry 1 have?
MnReSb2